First-principles (PBE-GGA) data for a geometry-optimized SnBW2 structure, as listed in Alexandria.

```
SnBW2
1.0
0.000 3.116 3.116
3.116 0.000 3.116
3.116 3.116 0.000
B W Sn
1 2 1
Direct
0.000 0.000 0.000
0.750 0.750 0.750
0.250 0.250 0.250
0.500 0.500 0.500
```

Calculated values
total magnetization: 0.0 μB/f.u.
DFT formation energy: 106.1 kJ per mole of atoms
total energy: -8.05 eV/atom

=====

First-principles (PBE-GGA) data for a geometry-optimized SnBW3 structure, as listed in Alexandria.

```
SnBW3
1.0
4.276 0.000 0.000
0.000 4.276 0.000
0.000 0.000 4.276
W Sn B
3 1 1
Direct
0.000 0.500 0.000
0.500 0.000 0.000
0.000 0.000 0.500
0.500 0.500 0.500
0.000 0.000 0.000
```

Calculated values
total magnetization: 0.0 μB/f.u.
DFT formation energy: 42.7 kJ per mole of atoms
total energy: -9.46 eV/atom

=====

First-principles (PBE-GGA) data for a geometry-optimized SnB3W structure, as listed in Alexandria.

```
SnB3W
1.0
4.286 0.000 0.000
0.000 4.286 0.000
0.000 0.000 4.286
W B Sn
1 3 1
Direct
0.000 0.000 0.000
0.000 0.000 0.500
0.500 0.000 0.000
0.000 0.500 0.000
0.500 0.500 0.500
```

Calculated values
total magnetization: 0.0 μB/f.u.
DFT formation energy: 110.4 kJ per mole of atoms
total energy: -6.25 eV/atom

=====

First-principles (PBE-GGA) data for a geometry-optimized Sn3BW structure, as listed in Alexandria.

```
Sn3BW
1.0
-3.378 -2.196 -2.388
-0.398 -3.141 3.451
-3.219 2.692 2.079
W B Sn
1 1 3
Direct
0.500 0.500 0.500
0.000 0.000 0.000
0.000 0.500 0.000
0.500 0.000 0.000
0.000 0.000 0.500
```

Calculated values
total magnetization: 0.0 μB/f.u.
DFT formation energy: 130.6 kJ per mole of atoms
total energy: -4.97 eV/atom